This record from Alexandria describes an optimized crystal structure of TcSbF2. The functional is GGA-PBE.

a = 8.3813 Å, b = 8.3813 Å, c = 8.3813 Å
α = 21.02°, β = 21.02°, γ = 21.02°
Last column: nearest neighbours and their distance in Å.
Atoms (fractional coordinates):
F (0.9072, 0.9072, 0.9072)  1 Sb 2.28, 3 Tc 2.53
F (0.0928, 0.0928, 0.0928)  1 Sb 2.28, 3 Tc 2.53
Tc (0.5000, 0.5000, 0.5000)  6 F 2.53
Sb (0.0000, 0.0000, 0.0000)  2 F 2.28

Computed properties:
Energy above the most stable polymorph in this dataset: 204 meV/atom
ΔE_f (raw): -0.51 eV per atom